Entry 1:
A plane-wave DFT calculation with meta-GGA SCAN was carried out for a PBEsol-optimized structure of NbAs2HSe.

POSCAR file:
```
NbAs2HSe
1.0
5.0274 0.0000 0.0000
0.0000 5.0274 0.0000
0.0000 0.0000 3.5987
Nb As H Se
1 2 1 1
Direct
0.0000 0.0000 0.0000
0.0000 0.5000 0.0000
0.5000 0.0000 0.0000
0.0000 0.0000 0.5000
0.5000 0.5000 0.5000
```

total DFT energy (no corrections): -19.06 eV/atom
space group: No. 123
total moment: 0.001 μB/cell

---

Entry 2:
A plane-wave DFT calculation with meta-GGA SCAN was carried out for a PBEsol-optimized structure of CaTl2Pb.

POSCAR file:
```
CaTl2Pb
1.0
3.7417 0.0000 0.0000
0.0000 4.3191 0.0000
0.0000 0.0000 6.9308
Ca Tl Pb
1 2 1
Direct
0.0000 0.0000 0.0000
0.5000 0.5000 0.2566
0.5000 0.5000 0.7434
0.0000 0.0000 0.5000
```

space group: No. 47
E_form: -0.29 eV per atom
total moment: 0.000 μB/cell

---

Entry 3:
A plane-wave DFT calculation with meta-GGA SCAN was carried out for a PBEsol-optimized structure of Sc2AgAu.

POSCAR file:
```
Sc2AgAu
1.0
6.5735 0.0000 0.0000
0.0000 6.5735 0.0000
0.0000 0.0000 6.5735
Sc Ag Au
8 4 4
Direct
0.0000 0.0000 0.0000
0.0000 0.5000 0.5000
0.2500 0.2500 0.2500
0.2500 0.7500 0.7500
0.5000 0.0000 0.5000
0.5000 0.5000 0.0000
0.7500 0.2500 0.7500
0.7500 0.7500 0.2500
0.2500 0.2500 0.7500
0.2500 0.7500 0.2500
0.7500 0.2500 0.2500
0.7500 0.7500 0.7500
0.0000 0.0000 0.5000
0.0000 0.5000 0.0000
0.5000 0.0000 0.0000
0.5000 0.5000 0.5000
```

space group: No. 216
E_form: -0.56 eV per atom
total moment: 0.000 μB/cell

---

Entry 4:
A plane-wave DFT calculation with meta-GGA SCAN was carried out for a PBEsol-optimized structure of MgMo3N.

POSCAR file:
```
MgMo3N
1.0
4.4758 0.0000 0.0000
0.0000 4.4758 0.0000
0.0000 0.0000 4.4758
Mg Mo N
1 3 1
Direct
0.0000 0.0000 0.0000
0.0000 0.0000 0.5000
0.0000 0.5000 0.0000
0.5000 0.0000 0.0000
0.5000 0.5000 0.5000
```

space group: No. 221
total moment: 2.492 μB/cell
energy relative to the elements, uncorrected: 3.43 eV/atom

---

Entry 5:
A plane-wave DFT calculation with meta-GGA SCAN was carried out for a PBEsol-optimized structure of Zn3InI.

POSCAR file:
```
Zn3InI
1.0
5.3752 0.0000 0.0000
0.0000 5.3752 0.0000
0.0000 0.0000 5.3752
Zn In I
3 1 1
Direct
0.0000 0.0000 0.5000
0.0000 0.5000 0.0000
0.5000 0.0000 0.0000
0.5000 0.5000 0.5000
0.0000 0.0000 0.0000
```

space group: No. 221
total moment: 0.000 μB/cell
energy relative to the elements, uncorrected: 0.93 eV/atom

---

Entry 6:
A plane-wave DFT calculation with meta-GGA SCAN was carried out for a PBEsol-optimized structure of MnAu2Cl.

POSCAR file:
```
MnAu2Cl
1.0
2.9646 0.0000 0.0000
0.0000 2.9646 0.0000
0.0000 0.0000 8.2092
Mn Au Cl
1 2 1
Direct
0.0000 0.0000 0.0000
0.0000 0.0000 0.4593
0.5000 0.5000 0.2213
0.5000 0.5000 0.8213
```

space group: No. 99
total moment: 4.572 μB/cell
energy relative to the elements, uncorrected: -0.35 eV/atom

---

Entry 7:
A plane-wave DFT calculation with meta-GGA SCAN was carried out for a PBEsol-optimized structure of MoSI.

POSCAR file:
```
MoSI
1.0
0.0000 5.1278 5.1278
5.1278 0.0000 5.1278
5.1278 5.1278 0.0000
Mo S I
4 4 4
Direct
0.0955 0.0955 0.0955
0.0955 0.0955 0.7136
0.0955 0.7136 0.0955
0.7136 0.0955 0.0955
0.3855 0.8715 0.8715
0.8715 0.3855 0.8715
0.8715 0.8715 0.3855
0.8715 0.8715 0.8715
0.3740 0.3740 0.3740
0.3740 0.3740 0.8781
0.3740 0.8781 0.3740
0.8781 0.3740 0.3740
```

space group: No. 216
total moment: 0.000 μB/cell
energy relative to the elements, uncorrected: -0.66 eV/atom

---

Entry 8:
A plane-wave DFT calculation with meta-GGA SCAN was carried out for a PBEsol-optimized structure of Co5Re.

POSCAR file:
```
Co5Re
1.0
2.5509 0.0000 0.0000
0.0000 2.5509 0.0000
0.0000 0.0000 10.1875
Co Re
5 1
Direct
0.0000 0.0000 0.0000
0.0000 0.0000 0.3203
0.0000 0.0000 0.6797
0.5000 0.5000 0.1602
0.5000 0.5000 0.8398
0.5000 0.5000 0.5000
```

space group: No. 123
E_form: 0.10 eV per atom
total moment: 8.416 μB/cell

---

Entry 9:
A plane-wave DFT calculation with meta-GGA SCAN was carried out for a PBEsol-optimized structure of Ca4LaAs.

POSCAR file:
```
Ca4LaAs
1.0
0.0000 4.6932 4.6932
4.6932 0.0000 4.6932
4.6932 4.6932 0.0000
Ca La As
4 1 1
Direct
0.1249 0.1249 0.1249
0.1249 0.1249 0.6254
0.1249 0.6254 0.1249
0.6254 0.1249 0.1249
0.5000 0.5000 0.5000
0.7500 0.7500 0.7500
```

space group: No. 216
E_form: 0.28 eV per atom
total moment: 2.019 μB/cell

---

Entry 10:
A plane-wave DFT calculation with meta-GGA SCAN was carried out for a PBEsol-optimized structure of Ba2NaP.

POSCAR file:
```
Ba2NaP
1.0
9.1539 0.0000 0.0000
0.0000 9.1539 0.0000
0.0000 0.0000 8.5100
Ba Na P
8 4 4
Direct
0.1801 0.7500 0.1250
0.2500 0.1801 0.8750
0.2500 0.3199 0.3750
0.3199 0.7500 0.6250
0.6801 0.2500 0.6250
0.7500 0.6801 0.3750
0.7500 0.8199 0.8750
0.8199 0.2500 0.1250
0.0000 0.0000 0.5000
0.0000 0.5000 0.7500
0.5000 0.0000 0.2500
0.5000 0.5000 0.0000
0.0000 0.0000 0.0000
0.0000 0.5000 0.2500
0.5000 0.0000 0.7500
0.5000 0.5000 0.5000
```

space group: No. 122
E_form: -0.45 eV per atom
total moment: 0.000 μB/cell

---

Entry 11:
A plane-wave DFT calculation with meta-GGA SCAN was carried out for a PBEsol-optimized structure of NaVS2.

POSCAR file:
```
NaVS2
1.0
3.4986 0.0000 0.0000
-1.7493 3.0298 0.0000
0.0000 0.0000 6.6244
Na V S
1 1 2
Direct
0.0000 0.0000 0.0000
0.0000 0.0000 0.5000
0.3333 0.6667 0.7025
0.6667 0.3333 0.2975
```

space group: No. 164
total moment: 2.000 μB/cell
energy relative to the elements, uncorrected: -1.28 eV/atom

---

Entry 12:
A plane-wave DFT calculation with meta-GGA SCAN was carried out for a PBEsol-optimized structure of ZnAgPt2.

POSCAR file:
```
ZnAgPt2
1.0
2.7934 0.0000 0.0000
-1.3967 2.4191 0.0000
0.0000 0.0000 26.4489
Zn Ag Pt
3 3 6
Direct
0.0000 0.0000 0.0000
0.3333 0.6667 0.6667
0.6667 0.3333 0.3333
0.0000 0.0000 0.5000
0.3333 0.6667 0.1667
0.6667 0.3333 0.8333
0.0000 0.0000 0.2559
0.0000 0.0000 0.7441
0.3333 0.6667 0.4107
0.3333 0.6667 0.9226
0.6667 0.3333 0.0774
0.6667 0.3333 0.5893
```

space group: No. 166
E_form: -0.28 eV per atom
total moment: 0.000 μB/cell

---

Entry 13:
A plane-wave DFT calculation with meta-GGA SCAN was carried out for a PBEsol-optimized structure of Y2Ni12As7.

POSCAR file:
```
Y2Ni12As7
1.0
9.2293 0.0000 0.0000
-4.6147 7.9928 0.0000
0.0000 0.0000 3.7851
Y Ni As
2 12 7
Direct
0.0000 0.0000 0.0000
0.3333 0.6667 0.5000
0.0427 0.7577 0.5000
0.1060 0.3896 0.0000
0.2423 0.2850 0.5000
0.2836 0.8940 0.0000
0.3865 0.2035 0.0000
0.5532 0.1244 0.5000
0.5711 0.4468 0.5000
0.6104 0.7164 0.0000
0.7150 0.9573 0.5000
0.7965 0.1829 0.0000
0.8171 0.6135 0.0000
0.8756 0.4289 0.5000
0.0690 0.6184 0.0000
0.2598 0.0346 0.5000
0.3816 0.4506 0.0000
0.5494 0.9310 0.0000
0.6667 0.3333 0.0000
0.7748 0.7402 0.5000
0.9654 0.2252 0.5000
```

space group: No. 174
E_form: -0.59 eV per atom
total moment: 0.000 μB/cell

---

Entry 14:
A plane-wave DFT calculation with meta-GGA SCAN was carried out for a PBEsol-optimized structure of Al3Sb2.

POSCAR file:
```
Al3Sb2
1.0
4.8695 0.0000 0.0000
-2.4347 4.2171 0.0000
0.0000 0.0000 5.7151
Al Sb
3 2
Direct
0.0000 0.0000 0.0000
0.3333 0.6667 0.2405
0.6667 0.3333 0.7595
0.3333 0.6667 0.7408
0.6667 0.3333 0.2592
```

space group: No. 164
total moment: 0.000 μB/cell
energy relative to the elements, uncorrected: 0.15 eV/atom

---

Entry 15:
A plane-wave DFT calculation with meta-GGA SCAN was carried out for a PBEsol-optimized structure of ZnGeSe2Br.

POSCAR file:
```
ZnGeSe2Br
1.0
4.9444 0.0000 0.0000
0.0000 4.9444 0.0000
0.0000 0.0000 5.0866
Zn Ge Se Br
1 1 2 1
Direct
0.0000 0.0000 0.0000
0.5000 0.5000 0.5000
0.0000 0.5000 0.5000
0.5000 0.0000 0.5000
0.5000 0.5000 0.0000
```

space group: No. 123
total moment: 0.000 μB/cell
energy relative to the elements, uncorrected: 0.33 eV/atom

---

Entry 16:
A plane-wave DFT calculation with meta-GGA SCAN was carried out for a PBEsol-optimized structure of Ta2CuBr.

POSCAR file:
```
Ta2CuBr
1.0
2.9800 0.0000 0.0000
-1.4900 2.5808 0.0000
0.0000 0.0000 25.9318
Ta Cu Br
6 3 3
Direct
0.0000 0.0000 0.2480
0.0000 0.0000 0.7520
0.3333 0.6667 0.4187
0.3333 0.6667 0.9147
0.6667 0.3333 0.0853
0.6667 0.3333 0.5813
0.0000 0.0000 0.5000
0.3333 0.6667 0.1667
0.6667 0.3333 0.8333
0.0000 0.0000 0.0000
0.3333 0.6667 0.6667
0.6667 0.3333 0.3333
```

space group: No. 166
total moment: 0.000 μB/cell
energy relative to the elements, uncorrected: 0.52 eV/atom

---

Entry 17:
A plane-wave DFT calculation with meta-GGA SCAN was carried out for a PBEsol-optimized structure of GaPtI3.

POSCAR file:
```
GaPtI3
1.0
5.4254 0.0000 0.0000
0.0000 5.4254 0.0000
0.0000 0.0000 5.4254
Ga Pt I
1 1 3
Direct
0.0000 0.0000 0.0000
0.5000 0.5000 0.5000
0.0000 0.5000 0.5000
0.5000 0.0000 0.5000
0.5000 0.5000 0.0000
```

space group: No. 221
total moment: 0.000 μB/cell
energy relative to the elements, uncorrected: -0.03 eV/atom

---

Entry 18:
A plane-wave DFT calculation with meta-GGA SCAN was carried out for a PBEsol-optimized structure of GaCu2IrI.

POSCAR file:
```
GaCu2IrI
1.0
4.7636 0.0000 0.0000
0.0000 4.7636 0.0000
0.0000 0.0000 4.9207
Ga Cu Ir I
1 2 1 1
Direct
0.0000 0.0000 0.0000
0.0000 0.5000 0.5000
0.5000 0.0000 0.5000
0.5000 0.5000 0.0000
0.5000 0.5000 0.5000
```

space group: No. 123
total moment: 0.000 μB/cell
energy relative to the elements, uncorrected: 1.42 eV/atom

---

Entry 19:
A plane-wave DFT calculation with meta-GGA SCAN was carried out for a PBEsol-optimized structure of Fe2TeIr.

POSCAR file:
```
Fe2TeIr
1.0
2.9411 0.0000 0.0000
0.0000 3.7957 0.0000
-0.0082 0.0000 5.2783
Fe Te Ir
2 1 1
Direct
0.0002 0.0000 0.2290
0.9998 0.0000 0.7710
0.5000 0.5000 0.5000
0.5000 0.5000 0.0000
```

space group: No. 10
total moment: 6.613 μB/cell
energy relative to the elements, uncorrected: 0.28 eV/atom

---

Entry 20:
A plane-wave DFT calculation with meta-GGA SCAN was carried out for a PBEsol-optimized structure of CsRb2YF6.

POSCAR file:
```
CsRb2YF6
1.0
0.0000 4.8990 4.8990
4.8990 0.0000 4.8990
4.8990 4.8990 0.0000
Cs Rb Y F
1 2 1 6
Direct
0.0000 0.0000 0.0000
0.2500 0.2500 0.2500
0.7500 0.7500 0.7500
0.5000 0.5000 0.5000
0.2804 0.2804 0.7196
0.2804 0.7196 0.2804
0.2804 0.7196 0.7196
0.7196 0.2804 0.2804
0.7196 0.2804 0.7196
0.7196 0.7196 0.2804
```

space group: No. 225
total moment: 0.000 μB/cell
energy relative to the elements, uncorrected: -3.43 eV/atom

---

Entry 21:
A plane-wave DFT calculation with meta-GGA SCAN was carried out for a PBEsol-optimized structure of ScIr2N.

POSCAR file:
```
ScIr2N
1.0
6.7682 0.0000 0.0000
0.0000 6.7682 0.0000
0.0000 0.0000 4.9188
Sc Ir N
4 8 4
Direct
0.0000 0.0000 0.0000
0.0000 0.5000 0.2500
0.5000 0.0000 0.7500
0.5000 0.5000 0.5000
0.1250 0.2500 0.6250
0.2500 0.6250 0.8750
0.2500 0.8750 0.3750
0.3750 0.2500 0.1250
0.6250 0.7500 0.1250
0.7500 0.1250 0.3750
0.7500 0.3750 0.8750
0.8750 0.7500 0.6250
0.0000 0.0000 0.5000
0.0000 0.5000 0.7500
0.5000 0.0000 0.2500
0.5000 0.5000 0.0000
```

space group: No. 122
total moment: 0.000 μB/cell
energy relative to the elements, uncorrected: -0.22 eV/atom

---

Entry 22:
A plane-wave DFT calculation with meta-GGA SCAN was carried out for a PBEsol-optimized structure of Y3Zr.

POSCAR file:
```
Y3Zr
1.0
3.3948 0.0000 0.0000
0.0000 4.7525 0.0000
0.0000 0.0000 6.9026
Y Zr
3 1
Direct
0.0000 0.0000 0.0000
0.5000 0.5000 0.2671
0.5000 0.5000 0.7329
0.0000 0.0000 0.5000
```

space group: No. 47
E_form: 0.12 eV per atom
total moment: 0.000 μB/cell

---

Entry 23:
A plane-wave DFT calculation with meta-GGA SCAN was carried out for a PBEsol-optimized structure of KSm2CuS4.

POSCAR file:
```
KSm2CuS4
1.0
1.9818 -6.7888 0.0000
1.9818 6.7888 0.0000
0.0000 0.0000 13.6742
K Sm Cu S
2 4 2 8
Direct
0.1075 0.8925 0.7500
0.8925 0.1075 0.2500
0.3653 0.6347 0.5623
0.3653 0.6347 0.9377
0.6347 0.3653 0.0623
0.6347 0.3653 0.4377
0.1615 0.8385 0.2500
0.8385 0.1615 0.7500
0.0000 0.0000 0.0000
0.0000 0.0000 0.5000
0.2638 0.7362 0.1152
0.2638 0.7362 0.3848
0.4316 0.5684 0.7500
0.5684 0.4316 0.2500
0.7362 0.2638 0.6152
0.7362 0.2638 0.8848
```

space group: No. 63
total moment: 0.000 μB/cell
energy relative to the elements, uncorrected: -1.89 eV/atom

---

Entry 24:
A plane-wave DFT calculation with meta-GGA SCAN was carried out for a PBEsol-optimized structure of RbYTe2O6.

POSCAR file:
```
RbYTe2O6
1.0
13.5218 0.0000 0.0000
0.0000 6.0731 0.0000
0.0000 0.0000 8.5395
Rb Y Te O
4 4 8 24
Direct
0.1373 0.2500 0.0107
0.3627 0.7500 0.5107
0.6373 0.2500 0.4893
0.8627 0.7500 0.9893
0.0893 0.7500 0.2828
0.4107 0.2500 0.7828
0.5893 0.7500 0.2172
0.9107 0.2500 0.7172
0.0818 0.7500 0.7171
0.1910 0.2500 0.5041
0.3090 0.7500 0.0041
0.4182 0.2500 0.2171
0.5818 0.7500 0.7829
0.6910 0.2500 0.9959
0.8090 0.7500 0.4959
0.9182 0.2500 0.2829
0.0132 0.5117 0.8050
0.0132 0.9883 0.8050
0.0186 0.7500 0.5202
0.1721 0.7500 0.0523
0.1961 0.0122 0.3636
0.1961 0.4878 0.3636
0.3039 0.5122 0.8636
0.3039 0.9878 0.8636
0.3279 0.2500 0.5523
0.4814 0.2500 0.0202
0.4868 0.0117 0.3050
0.4868 0.4883 0.3050
0.5132 0.5117 0.6950
0.5132 0.9883 0.6950
0.5186 0.7500 0.9798
0.6721 0.7500 0.4477
0.6961 0.0122 0.1364
0.6961 0.4878 0.1364
0.8039 0.5122 0.6364
0.8039 0.9878 0.6364
0.8279 0.2500 0.9477
0.9814 0.2500 0.4798
0.9868 0.0117 0.1950
0.9868 0.4883 0.1950
```

space group: No. 62
total moment: 0.000 μB/cell
energy relative to the elements, uncorrected: -2.07 eV/atom

---

Entry 25:
A plane-wave DFT calculation with meta-GGA SCAN was carried out for a PBEsol-optimized structure of K3Li.

POSCAR file:
```
K3Li
1.0
4.3903 0.0000 0.0000
-2.1952 3.8021 0.0000
0.0000 0.0000 13.7643
K Li
3 1
Direct
0.0000 0.0000 0.0000
0.6667 0.3333 0.2857
0.6667 0.3333 0.7143
0.0000 0.0000 0.5000
```

space group: No. 187
E_form: 0.11 eV per atom
total moment: 0.014 μB/cell